No. 1
# SrHfSb2I

Crystalline SrHfSb2I at its relaxed geometry (PBE, the Alexandria database).

mass density: 5.07 g cm⁻³
raw formation energy: 0.9459 eV per atom
excess energy over the best structure of this formula in the dataset: 1395.5 meV per atom

Cell: 5.9647 5.9647 5.8554 Å, 90.00 90.00 90.00°
Last column: magnetic moment on the atom in μB.
Fractional positions:
Hf 0.5000 0.5000 0.5000  0.67
Sb 0.5000 0.0000 0.0000  -0.06
Sr 0.0000 0.0000 0.0000  -0.01
Sb 0.0000 0.5000 0.0000  -0.06
I 0.0000 0.0000 0.5000  -0.01

No. 2
# Sm3Tc3B8

Crystalline Sm3Tc3B8 at its relaxed geometry (PBE, the Alexandria database).

energy of formation: -0.14 eV/atom
mass density: 7.40 g cm⁻³

Cell: 3.1684 8.1090 8.1090 Å, 67.11 78.73 78.73°
Fractional positions:
B 0.3704 0.8750 0.3842
B 0.6296 0.1250 0.6158
Sm 0.5000 0.5000 0.5000
Sm 0.2208 0.7792 0.7792
Tc 0.5000 0.0000 0.0000
B 0.3704 0.3842 0.8750
Tc 0.0000 0.7845 0.2155
B 0.6296 0.6158 0.1250
B 0.8534 0.8292 0.4640
Tc 0.0000 0.2155 0.7845
B 0.1466 0.1708 0.5360
Sm 0.7792 0.2208 0.2208
B 0.1466 0.5360 0.1708
B 0.8534 0.4640 0.8292

No. 3
# CoTcSb2Te

Crystalline CoTcSb2Te at its relaxed geometry (PBE, the Alexandria database).

mass density: 7.45 g cm⁻³
raw formation energy: 0.7217 eV per atom
excess energy over the best structure of this formula in the dataset: 0.0 meV per atom

Cell: 4.8033 5.0979 4.8033 Å, 90.00 90.00 90.00°
Last column: magnetic moment on the atom in μB.
Fractional positions:
Sb 0.5000 0.0000 0.0000  0.01
Co 0.0000 0.0000 0.0000  0.72
Sb 0.0000 0.0000 0.5000  0.00
Te 0.5000 0.5000 0.5000  -0.02
Tc 0.0000 0.5000 0.0000  2.92

No. 4
# CrInReP

Crystalline CrInReP at its relaxed geometry (PBE, the Alexandria database).

energy of formation: 0.37 eV/atom
mass density: 9.15 g cm⁻³
excess energy over the best structure of this formula in the dataset: 350.8 meV per atom

Cell: 3.9010 3.0327 11.7842 Å, 90.00 90.00 90.00°
Fractional positions:
P 0.0000 0.5000 0.6655
P 0.0000 0.0000 0.1655
In 0.5000 0.0000 0.4515
In 0.5000 0.5000 0.9515
Cr 0.0000 0.5000 0.3200
Re 0.5000 0.0000 0.7065
Cr 0.0000 0.0000 0.8200
Re 0.5000 0.5000 0.2065

No. 5
# ThAl3Au3

Crystalline ThAl3Au3 at its relaxed geometry (PBE, the Alexandria database).

energy of formation: -0.35 eV/atom
mass density: 10.09 g cm⁻³
excess energy over the best structure of this formula in the dataset: 220.0 meV per atom

Cell: 5.2295 8.1065 8.1065 Å, 120.00 90.00 90.00°
Fractional positions:
Au 0.2500 0.0889 0.5444
Th 0.2500 0.6667 0.3333
Au 0.2500 0.4556 0.5444
Au 0.7500 0.5444 0.0889
Au 0.7500 0.9111 0.4556
Th 0.7500 0.3333 0.6667
Al 0.2500 0.7717 0.8856
Au 0.2500 0.4556 0.9111
Al 0.2500 0.1144 0.8860
Al 0.2500 0.1140 0.2283
Al 0.7500 0.2283 0.1144
Al 0.7500 0.8856 0.1140
Au 0.7500 0.5444 0.4556
Al 0.7500 0.8860 0.7717

No. 6
# CsSr3Zn

Crystalline CsSr3Zn at its relaxed geometry (PBE, the Alexandria database).

energy of formation: 0.04 eV/atom
mass density: 2.81 g cm⁻³
excess energy over the best structure of this formula in the dataset: 0.0 meV per atom

Cell: 6.4831 6.4831 6.4831 Å, 90.00 90.00 90.00°
Fractional positions:
Sr 0.0000 0.0000 0.5000
Cs 0.5000 0.5000 0.5000
Sr 0.0000 0.5000 0.0000
Sr 0.5000 0.0000 0.0000
Zn 0.0000 0.0000 0.0000

The evaluated magnetization for the records listed, in turn: 0.7; 0.0; 4.1; 0.0; 0.0; 0.0 μB/cell.
The evaluated volume for the records listed, in turn: 41.66; 13.33; 23.52; 17.43; 21.26; 54.50 Å³/atom.
The evaluated E_tot for the records listed, in turn: -16.7; -100.7; -25.2; -28.7; -31.0; -7.0 eV per formula unit.